No. 1
Below is a relaxed structure of HfAgHg, with properties calculated at the PBE level.

a = 3.3034 Å, b = 3.3034 Å, c = 11.2337 Å
α = 90.00°, β = 90.00°, γ = 90.43°
Last column: nearest neighbours and their distance in Å.
Fractional positions:
Hf 0.2500 0.7500 0.9111  4 Hg 3.06-3.07, 8 Hf 3.07-3.30
Hf 0.7500 0.2500 0.0889  4 Hg 3.06-3.07, 8 Hf 3.07-3.30
Ag 0.2500 0.7500 0.5756  4 Ag 2.88-2.90, 4 Hg 2.93-2.95
Ag 0.7500 0.2500 0.4244  4 Ag 2.88-2.90, 4 Hg 2.93-2.95
Hg 0.2500 0.7500 0.2652  4 Ag 2.93-2.95, 4 Hf 3.06-3.07
Hg 0.7500 0.2500 0.7348  4 Ag 2.93-2.95, 4 Hf 3.06-3.07

Computed properties:
* SG: Cmme
* distance to the lowest polymorph of the same formula: 0.0 kJ/mol of atoms
* DOS(E_F): 1.227 states/eV/f.u.
* magnetization: 0.00 μB per formula unit
* E_form: -0.65 kcal/mol of atoms

---

No. 2
Below is a relaxed structure of ErBe17Ru, with properties calculated at the PBE level.

a = 5.6286 Å, b = 5.6286 Å, c = 5.6286 Å
α = 83.08°, β = 83.08°, γ = 83.08°
Last column: nearest neighbours and their distance in Å.
Fractional positions:
Er 0.0000 0.0000 0.0000  19 Be 2.70-2.85
Be 0.0102 0.0102 0.4918  9 Be 2.18-2.42
Be 0.0102 0.4918 0.0102  9 Be 2.18-2.42
Be 0.1533 0.6627 0.6627  10 Be 2.11-2.30
Be 0.3179 0.3179 0.7945  9 Be 2.14-2.26
Be 0.3179 0.7945 0.3179  9 Be 2.14-2.26
Be 0.3696 0.6503 0.9552  8 Be 2.10-2.28
Be 0.3696 0.9552 0.6503  8 Be 2.10-2.28
Be 0.4918 0.0102 0.0102  9 Be 2.18-2.42
Be 0.5571 0.5571 0.5571  7 Be 2.11-2.30
Be 0.6503 0.3696 0.9552  8 Be 2.10-2.28
Be 0.6503 0.9552 0.3696  8 Be 2.10-2.28
Be 0.6627 0.1533 0.6627  10 Be 2.11-2.30
Be 0.6627 0.6627 0.1533  10 Be 2.11-2.30
Be 0.7512 0.7512 0.7512  4 Be 2.11-2.27
Be 0.7945 0.3179 0.3179  9 Be 2.14-2.26
Be 0.9552 0.3696 0.6503  8 Be 2.10-2.28
Be 0.9552 0.6503 0.3696  8 Be 2.10-2.28
Ru 0.3313 0.3313 0.3313  13 Be 2.45-2.71

Computed properties:
* SG: R3m
* DOS(E_F): 6.158 states/eV/f.u.
* magnetization: 0.00 μB per formula unit
* E_form: -2.78 kcal/mol of atoms

---

No. 3
Below is a relaxed structure of ScAsF2, with properties calculated at the PBE level.

a = 9.9317 Å, b = 9.9317 Å, c = 9.9317 Å
α = 17.48°, β = 17.48°, γ = 17.48°
Last column: nearest neighbours and their distance in Å.
Fractional positions:
Sc 0.0000 0.0000 0.0000  6 F 2.14
As 0.5000 0.5000 0.5000  6 As 3.02
F 0.3756 0.3756 0.3756  3 Sc 2.14
F 0.6244 0.6244 0.6244  3 Sc 2.14

Computed properties:
* SG: R-3m
* distance to the lowest polymorph of the same formula: 0.0 kJ/mol of atoms
* DOS(E_F): 2.077 states/eV/f.u.
* magnetization: 0.00 μB per formula unit
* energy relative to the elements, uncorrected: -2099 meV/atom